The following is a DFT calculation (PBE) of a geometry-optimized Cu2PtW structure.

The structure in POSCAR format:
```
Cu2PtW
1.0
4.685 -0.001 0.003
3.908 2.584 0.003
0.689 0.207 4.669
W Cu Pt
1 2 1
direct
0.751 0.751 0.734 W
0.999 0.999 0.019 Cu
0.249 0.249 0.228 Cu
0.501 0.501 0.518 Pt
```

Values from the calculation:
Symmetry: Cm, No. 8
Formation energy, eV/atom: 0.057



The following is a DFT calculation (PBE) of a geometry-optimized Y6CuPt5 structure.

The structure in POSCAR format:
```
Y6CuPt5
1.0
-3.122 -0.066 -3.846
-0.415 -7.752 3.661
-1.854 7.022 4.574
Y Pt Cu
6 5 1
direct
0.247 0.747 0.747 Y
0.753 0.253 0.253 Y
0.749 0.581 0.916 Y
0.749 0.916 0.581 Y
0.251 0.084 0.419 Y
0.251 0.419 0.084 Y
0.500 0.500 0.500 Pt
0.000 0.671 0.329 Pt
0.500 0.839 0.161 Pt
0.000 0.329 0.671 Pt
0.500 0.161 0.839 Pt
0.000 0.000 0.000 Cu
```

Values from the calculation:
Symmetry: Immm, No. 71
Formation energy, eV/atom: -1.056



The following is a DFT calculation (PBE) of a geometry-optimized YCuPt2 structure.

The structure in POSCAR format:
```
YCuPt2
1.0
5.200 -0.008 -0.005
3.362 3.967 -0.005
3.362 1.555 3.649
Y Pt Cu
1 2 1
direct
0.250 0.250 0.250 Y
0.462 0.462 0.462 Pt
0.038 0.038 0.038 Pt
0.750 0.750 0.750 Cu
```

Values from the calculation:
Symmetry: R-3m, No. 166
Formation energy, eV/atom: -0.731



The following is a DFT calculation (PBE) of a geometry-optimized YCuPt structure.

The structure in POSCAR format:
```
YCuPt
1.0
3.594 0.000 0.000
0.000 3.594 0.000
-1.797 -1.797 4.379
Y Pt Cu
1 1 1
direct
0.945 0.945 0.890 Y
0.281 0.281 0.563 Pt
0.624 0.624 0.247 Cu
```

Values from the calculation:
Symmetry: I4mm, No. 107
Formation energy, eV/atom: -0.667
Polymorph energy (0 for the lowest one), kJ/mol of atoms: 14.8



The following is a DFT calculation (PBE) of a geometry-optimized Y6Cu5Pt structure.

The structure in POSCAR format:
```
Y6Cu5Pt
1.0
-1.603 -3.135 -3.436
6.242 0.222 -3.115
1.473 -7.279 2.432
Y Cu Pt
6 5 1
direct
0.835 0.750 0.331 Y
0.500 0.752 0.000 Y
0.500 0.248 0.000 Y
0.165 0.250 0.669 Y
0.834 0.250 0.331 Y
0.166 0.750 0.669 Y
0.335 0.500 0.329 Cu
0.673 0.000 0.654 Cu
0.000 0.500 0.000 Cu
0.327 0.000 0.346 Cu
0.665 0.500 0.671 Cu
0.000 0.000 0.000 Pt
```

Values from the calculation:
Symmetry: Cmmm, No. 65
Formation energy, eV/atom: -0.418



The following is a DFT calculation (PBE) of a geometry-optimized YCuPt structure.

The structure in POSCAR format:
```
YCuPt
1.0
4.349 0.000 0.000
-2.175 3.767 0.000
0.000 0.000 3.585
Y Cu Pt
1 1 1
direct
0.333 0.667 0.666 Y
0.000 0.000 0.167 Cu
0.667 0.333 0.167 Pt
```

Values from the calculation:
Symmetry: P-6m2, No. 187
Formation energy, eV/atom: -0.764
Polymorph energy (0 for the lowest one), kJ/mol of atoms: 5.5



The following is a DFT calculation (PBE) of a geometry-optimized YCu2Pt structure.

The structure in POSCAR format:
```
YCu2Pt
1.0
5.019 -0.014 0.000
1.780 4.692 0.000
-3.399 -2.339 2.856
Cu Pt Y
2 1 1
direct
0.000 0.000 0.000 Cu
0.250 0.750 0.500 Cu
0.500 0.500 0.000 Pt
0.750 0.250 0.500 Y
```

Values from the calculation:
Symmetry: I-4m2, No. 119
Formation energy, eV/atom: -0.442
Polymorph energy (0 for the lowest one), kJ/mol of atoms: 7.3



The following is a DFT calculation (PBE) of a geometry-optimized YCuPt2 structure.

The structure in POSCAR format:
```
YCuPt2
1.0
3.568 0.000 0.000
0.000 3.568 0.000
0.000 0.000 5.668
Pt Y Cu
2 1 1
direct
0.000 0.000 0.971 Pt
0.500 0.500 0.251 Pt
0.000 0.000 0.488 Y
0.500 0.500 0.790 Cu
```

Values from the calculation:
Symmetry: P4mm, No. 99
Formation energy, eV/atom: -0.558



The following is a DFT calculation (PBE) of a geometry-optimized YCu2Pt structure.

The structure in POSCAR format:
```
YCu2Pt
1.0
-0.949 2.657 3.191
1.950 -0.402 3.766
3.644 3.623 0.899
Cu Y Pt
2 1 1
direct
0.046 0.046 0.860 Cu
0.738 0.738 0.787 Cu
0.251 0.251 0.245 Y
0.464 0.464 0.607 Pt
```

Values from the calculation:
Symmetry: Cm, No. 8
Formation energy, eV/atom: -0.518
Polymorph energy (0 for the lowest one), kJ/mol of atoms: 0.0



The following is a DFT calculation (PBE) of a geometry-optimized YCuPt2 structure.

The structure in POSCAR format:
```
YCuPt2
1.0
4.641 0.000 0.000
2.321 4.019 0.000
2.321 1.340 3.790
Y Pt Cu
1 2 1
direct
0.750 0.750 0.750 Y
0.250 0.250 0.250 Pt
0.000 0.000 0.000 Pt
0.500 0.500 0.500 Cu
```

Values from the calculation:
Symmetry: F-43m, No. 216
Formation energy, eV/atom: -0.587



The following is a DFT calculation (PBE) of a geometry-optimized YCuPt structure.

The structure in POSCAR format:
```
YCuPt
1.0
-0.792 1.525 3.166
-3.797 1.225 -1.539
-3.134 -6.667 2.429
Cu Pt Y
2 2 2
direct
0.811 0.217 0.329 Cu
0.811 0.717 0.464 Cu
0.812 0.716 0.787 Pt
0.812 0.216 0.006 Pt
0.312 0.216 0.663 Y
0.312 0.716 0.130 Y
```

Values from the calculation:
Symmetry: Pmma, No. 51
Formation energy, eV/atom: -0.709
Polymorph energy (0 for the lowest one), kJ/mol of atoms: 10.8



The following is a DFT calculation (PBE) of a geometry-optimized Y5Cu4Pt structure.

The structure in POSCAR format:
```
Y5Cu4Pt
1.0
3.475 0.000 0.000
0.000 3.475 0.000
0.000 0.000 17.615
Pt Y Cu
1 5 4
direct
0.000 0.000 0.000 Pt
0.500 0.500 0.099 Y
0.500 0.500 0.901 Y
0.500 0.500 0.300 Y
0.500 0.500 0.500 Y
0.500 0.500 0.700 Y
0.000 0.000 0.401 Cu
0.000 0.000 0.599 Cu
0.000 0.000 0.202 Cu
0.000 0.000 0.798 Cu
```

Values from the calculation:
Symmetry: P4/mmm, No. 123
Formation energy, eV/atom: -0.439



The following is a DFT calculation (PBE) of a geometry-optimized YCuPt structure.

The structure in POSCAR format:
```
YCuPt
1.0
4.541 0.000 0.000
2.271 3.933 0.000
2.271 1.311 3.708
Cu Pt Y
1 1 1
direct
0.500 0.500 0.500 Cu
0.750 0.750 0.750 Pt
0.000 0.000 0.000 Y
```

Values from the calculation:
Symmetry: F-43m, No. 216
Formation energy, eV/atom: -0.598
Polymorph energy (0 for the lowest one), kJ/mol of atoms: 21.5



The following is a DFT calculation (PBE) of a geometry-optimized YCu2Pt structure.

The structure in POSCAR format:
```
YCu2Pt
1.0
-8.855 -2.111 -0.090
-7.763 -4.642 1.030
-8.330 -2.341 2.829
Y Cu Pt
1 2 1
direct
0.750 0.750 0.750 Y
0.507 0.507 0.507 Cu
0.993 0.993 0.993 Cu
0.250 0.250 0.250 Pt
```

Values from the calculation:
Symmetry: R-3m, No. 166
Formation energy, eV/atom: 0.195
Polymorph energy (0 for the lowest one), kJ/mol of atoms: 68.8



The following is a DFT calculation (PBE) of a geometry-optimized YCu2Pt structure.

The structure in POSCAR format:
```
YCu2Pt
1.0
-4.479 -0.011 0.325
-0.202 -2.068 -2.860
0.212 -3.878 2.792
Cu Y Pt
2 1 1
direct
0.000 0.250 0.997 Cu
0.000 0.250 0.503 Cu
0.500 0.750 0.750 Y
0.500 0.250 0.250 Pt
```

Values from the calculation:
Symmetry: Pmmm, No. 47
Formation energy, eV/atom: -0.381
Polymorph energy (0 for the lowest one), kJ/mol of atoms: 13.2



The following is a DFT calculation (PBE) of a geometry-optimized YCuPt6 structure.

The structure in POSCAR format:
```
YCuPt6
1.0
-1.794 3.548 -0.703
-3.027 -1.902 -1.877
-3.919 -0.608 6.935
Pt Cu Y
6 1 1
direct
0.500 0.500 0.500 Pt
0.500 0.000 0.733 Pt
0.000 0.500 0.267 Pt
0.000 0.500 0.733 Pt
0.500 0.500 0.000 Pt
0.500 0.000 0.267 Pt
0.000 0.000 0.500 Cu
0.000 0.000 0.000 Y
```

Values from the calculation:
Symmetry: P4/mmm, No. 123
Formation energy, eV/atom: -0.527



The following is a DFT calculation (PBE) of a geometry-optimized YCu2Pt structure.

The structure in POSCAR format:
```
YCu2Pt
1.0
-4.138 -0.457 -2.708
-1.090 -2.834 -3.930
-2.205 -3.282 0.885
Cu Pt Y
2 1 1
direct
0.000 0.000 0.001 Cu
0.500 0.500 0.499 Cu
0.750 0.750 0.750 Pt
0.250 0.250 0.250 Y
```

Values from the calculation:
Symmetry: I4/mmm, No. 139
Formation energy, eV/atom: -0.508
Polymorph energy (0 for the lowest one), kJ/mol of atoms: 1.0



The following is a DFT calculation (PBE) of a geometry-optimized Y3Cu2Pt7 structure.

The structure in POSCAR format:
```
Y3Cu2Pt7
1.0
5.186 0.000 1.623
2.339 4.629 1.623
0.006 0.003 9.078
Y Pt Cu
3 7 2
direct
0.000 0.000 0.000 Y
0.139 0.139 0.583 Y
0.861 0.861 0.417 Y
0.417 0.417 0.244 Pt
0.500 0.500 0.500 Pt
0.583 0.583 0.756 Pt
0.417 0.923 0.244 Pt
0.923 0.417 0.244 Pt
0.077 0.583 0.756 Pt
0.583 0.077 0.756 Pt
0.666 0.666 0.001 Cu
0.334 0.334 0.999 Cu
```

Values from the calculation:
Symmetry: R-3m, No. 166
Formation energy, eV/atom: -0.877



The following is a DFT calculation (PBE) of a geometry-optimized Y2CuPt structure.

The structure in POSCAR format:
```
Y2CuPt
1.0
4.504 0.000 0.000
0.000 5.560 0.080
0.000 -2.669 7.055
Y Cu Pt
4 2 2
direct
0.250 0.776 0.572 Y
0.750 0.220 0.934 Y
0.250 0.780 0.066 Y
0.750 0.224 0.428 Y
0.250 0.342 0.709 Cu
0.750 0.658 0.291 Cu
0.750 0.654 0.787 Pt
0.250 0.346 0.213 Pt
```

Values from the calculation:
Symmetry: P2_1/m, No. 11
Formation energy, eV/atom: -0.808



The following is a DFT calculation (PBE) of a geometry-optimized Y8Cu2Pt structure.

The structure in POSCAR format:
```
Y8Cu2Pt
1.0
5.105 0.000 0.000
0.000 6.703 0.251
-2.553 -2.576 8.369
Y Pt Cu
8 1 2
direct
0.034 0.787 0.068 Y
0.333 0.021 0.666 Y
0.590 0.444 0.179 Y
0.966 0.213 0.932 Y
0.798 0.666 0.595 Y
0.667 0.979 0.334 Y
0.410 0.556 0.821 Y
0.202 0.334 0.405 Y
0.500 0.000 0.000 Pt
0.187 0.733 0.374 Cu
0.813 0.267 0.626 Cu
```

Values from the calculation:
Symmetry: C2/m, No. 12
Formation energy, eV/atom: -0.310